# RbPt3Pb5, optimized geometry, DFT PBE-GGA
data_RbPt3Pb5
_symmetry_space_group_name_H-M 'P 1'
_symmetry_Int_Tables_number 1
_cell_length_a 5.752
_cell_length_b 5.752
_cell_length_c 8.731
_cell_angle_alpha 90.00
_cell_angle_beta 90.00
_cell_angle_gamma 120.00
loop_
_symmetry_equiv_pos_as_xyz
'x,y,z'
loop_
_atom_site_label
_atom_site_fract_x
_atom_site_fract_y
_atom_site_fract_z
Rb1 0.000 0.000 0.000
Pt1 0.000 0.500 0.500
Pt2 0.500 0.000 0.500
Pt3 0.500 0.500 0.500
Pb1 0.000 0.000 0.500
Pb2 0.333 0.667 0.221
Pb3 0.333 0.667 0.779
Pb4 0.667 0.333 0.221
Pb5 0.667 0.333 0.779
# - uncorrected energy (eV per atom) = -4.33
# - space-group type = P6/mmm

***

# RePtPb, optimized geometry, DFT PBE-GGA
data_RePtPb
_symmetry_space_group_name_H-M 'P 1'
_symmetry_Int_Tables_number 1
_cell_length_a 4.484
_cell_length_b 4.484
_cell_length_c 4.484
_cell_angle_alpha 60.00
_cell_angle_beta 60.00
_cell_angle_gamma 60.00
loop_
_symmetry_equiv_pos_as_xyz
'x,y,z'
loop_
_atom_site_label
_atom_site_fract_x
_atom_site_fract_y
_atom_site_fract_z
Re1 0.000 0.000 0.000
Pt1 0.250 0.250 0.250
Pb1 0.750 0.750 0.750
# - uncorrected energy (eV per atom) = -6.57
# - space-group type = F-43m

***

# PtPb2S3, optimized geometry, DFT PBE-GGA
data_PtPb2S3
_symmetry_space_group_name_H-M 'P 1'
_symmetry_Int_Tables_number 1
_cell_length_a 8.223
_cell_length_b 8.223
_cell_length_c 8.223
_cell_angle_alpha 152.21
_cell_angle_beta 146.66
_cell_angle_gamma 43.94
loop_
_symmetry_equiv_pos_as_xyz
'x,y,z'
loop_
_atom_site_label
_atom_site_fract_x
_atom_site_fract_y
_atom_site_fract_z
Pt1 0.000 0.000 0.000
Pb1 0.354 0.354 0.000
Pb2 0.646 0.646 0.000
S1 0.155 0.155 0.000
S2 0.500 0.000 0.500
S3 0.845 0.845 0.000
# - uncorrected energy (eV per atom) = -4.64
# - space-group type = Immm

***

# ScPtPbS3, optimized geometry, DFT PBE-GGA
data_ScPtPbS3
_symmetry_space_group_name_H-M 'P 1'
_symmetry_Int_Tables_number 1
_cell_length_a 6.841
_cell_length_b 6.841
_cell_length_c 10.139
_cell_angle_alpha 90.00
_cell_angle_beta 90.00
_cell_angle_gamma 147.67
loop_
_symmetry_equiv_pos_as_xyz
'x,y,z'
loop_
_atom_site_label
_atom_site_fract_x
_atom_site_fract_y
_atom_site_fract_z
Sc1 0.000 0.000 0.000
Sc2 0.000 0.000 0.500
Pt1 0.387 0.613 0.750
Pt2 0.613 0.387 0.250
Pb1 0.272 0.728 0.250
Pb2 0.728 0.272 0.750
S1 0.026 0.974 0.750
S2 0.368 0.632 0.516
S3 0.368 0.632 0.984
S4 0.632 0.368 0.016
S5 0.632 0.368 0.484
S6 0.974 0.026 0.250
# - uncorrected energy (eV per atom) = -5.68
# - space-group type = Cmcm

***

# ZrPtPbS3, optimized geometry, DFT PBE-GGA
data_ZrPtPbS3
_symmetry_space_group_name_H-M 'P 1'
_symmetry_Int_Tables_number 1
_cell_length_a 7.086
_cell_length_b 7.086
_cell_length_c 9.994
_cell_angle_alpha 90.00
_cell_angle_beta 90.00
_cell_angle_gamma 148.84
loop_
_symmetry_equiv_pos_as_xyz
'x,y,z'
loop_
_atom_site_label
_atom_site_fract_x
_atom_site_fract_y
_atom_site_fract_z
Zr1 0.000 0.000 0.000
Zr2 0.000 0.000 0.500
Pt1 0.395 0.605 0.750
Pt2 0.605 0.395 0.250
Pb1 0.261 0.739 0.250
Pb2 0.739 0.261 0.750
S1 0.043 0.957 0.750
S2 0.370 0.630 0.515
S3 0.370 0.630 0.985
S4 0.630 0.370 0.015
S5 0.630 0.370 0.485
S6 0.957 0.043 0.250
# - uncorrected energy (eV per atom) = -6.01
# - space-group type = Cmcm

***

# SbPt2Pb, optimized geometry, DFT PBE-GGA
data_SbPt2Pb
_symmetry_space_group_name_H-M 'P 1'
_symmetry_Int_Tables_number 1
_cell_length_a 8.626
_cell_length_b 7.397
_cell_length_c 5.545
_cell_angle_alpha 90.00
_cell_angle_beta 90.00
_cell_angle_gamma 90.00
loop_
_symmetry_equiv_pos_as_xyz
'x,y,z'
loop_
_atom_site_label
_atom_site_fract_x
_atom_site_fract_y
_atom_site_fract_z
Sb1 0.125 0.078 0.250
Sb2 0.125 0.422 0.750
Sb3 0.875 0.578 0.250
Sb4 0.875 0.922 0.750
Pt1 0.109 0.750 0.000
Pt2 0.109 0.750 0.500
Pt3 0.356 0.250 0.000
Pt4 0.356 0.250 0.500
Pt5 0.644 0.750 0.000
Pt6 0.644 0.750 0.500
Pt7 0.891 0.250 0.000
Pt8 0.891 0.250 0.500
Pb1 0.378 0.592 0.250
Pb2 0.378 0.908 0.750
Pb3 0.622 0.092 0.250
Pb4 0.622 0.408 0.750
# - uncorrected energy (eV per atom) = -5.34
# - space-group type = Pbcm

***

# Sb2Pt2Pb3, optimized geometry, DFT PBE-GGA
data_Sb2Pt2Pb3
_symmetry_space_group_name_H-M 'P 1'
_symmetry_Int_Tables_number 1
_cell_length_a 9.595
_cell_length_b 9.595
_cell_length_c 9.595
_cell_angle_alpha 28.56
_cell_angle_beta 28.56
_cell_angle_gamma 28.56
loop_
_symmetry_equiv_pos_as_xyz
'x,y,z'
loop_
_atom_site_label
_atom_site_fract_x
_atom_site_fract_y
_atom_site_fract_z
Sb1 0.000 0.000 0.000
Sb2 0.401 0.401 0.401
Pt1 0.171 0.171 0.171
Pt2 0.699 0.699 0.699
Pb1 0.273 0.273 0.273
Pb2 0.541 0.541 0.541
Pb3 0.803 0.803 0.803
# - uncorrected energy (eV per atom) = -4.56
# - space-group type = R3m

***

# ScPt2Pb, optimized geometry, DFT PBE-GGA
data_ScPt2Pb
_symmetry_space_group_name_H-M 'P 1'
_symmetry_Int_Tables_number 1
_cell_length_a 4.729
_cell_length_b 4.729
_cell_length_c 4.729
_cell_angle_alpha 60.00
_cell_angle_beta 60.00
_cell_angle_gamma 60.00
loop_
_symmetry_equiv_pos_as_xyz
'x,y,z'
loop_
_atom_site_label
_atom_site_fract_x
_atom_site_fract_y
_atom_site_fract_z
Sc1 0.000 0.000 0.000
Pt1 0.250 0.250 0.250
Pt2 0.500 0.500 0.500
Pb1 0.750 0.750 0.750
# - uncorrected energy (eV per atom) = -6.03
# - space-group type = F-43m

***

Which value of uncorrected energy does entry 5 give?
-6.01 eV per atom